Entry 1:
PmSc3Mn (PBE-GGA, optimized geometry); total energy = -6.47 eV per atom; space-group type = No. 221; crystal system = cubic; formation energy from the elements = 0.12 eV/atom
1.0
4.9697 0.0000 0.0000
0.0000 4.9697 0.0000
0.0000 0.0000 4.9697
Pm Sc Mn
1 3 1
Cartesian
0.0000 0.0000 0.0000 Pm
0.0000 2.4849 2.4849 Sc
2.4849 0.0000 2.4849 Sc
2.4849 2.4849 0.0000 Sc
2.4849 2.4849 2.4849 Mn

=====

Entry 2:
Pm2ScMnSe5 (PBE-GGA, optimized geometry); total energy = -6.21 eV per atom; space-group type = No. 36; crystal system = orthorhombic; raw formation energy = -1.5005 eV/atom
1.0
2.0101 -8.5405 0.0000
2.0101 8.5405 0.0000
0.0000 0.0000 12.2464
Pm Sc Mn Se
4 2 2 10
Cartesian
2.0101 6.5275 6.1232 Pm
2.0101 6.4248 10.4627 Pm
2.0101 -6.4248 4.3395 Pm
2.0101 -6.5275 0.0000 Pm
2.0101 5.4189 2.2111 Sc
2.0101 -5.4189 8.3343 Sc
2.0101 1.0145 7.2286 Mn
2.0101 -1.0145 1.1054 Mn
2.0101 8.1673 2.3210 Se
2.0101 3.3678 6.3807 Se
2.0101 3.3533 10.2460 Se
2.0101 2.6764 2.1551 Se
2.0101 0.0435 11.1801 Se
2.0101 -0.0435 5.0569 Se
2.0101 -2.6764 8.2783 Se
2.0101 -3.3533 4.1228 Se
2.0101 -3.3678 0.2575 Se
2.0101 -8.1673 8.4442 Se

=====

Entry 3:
PmMnSe2 (PBE-GGA, optimized geometry); total energy = -5.75 eV per atom; space-group type = No. 166; crystal system = trigonal; raw formation energy = -0.5291 eV/atom
1.0
1.9051 1.0999 8.5302
-1.9051 1.0999 8.5302
0.0000 -2.1998 8.5302
Pm Mn Se
1 1 2
Cartesian
0.0000 0.0000 0.0000 Pm
0.0000 0.0000 12.7953 Mn
0.0000 0.0000 2.8569 Se
0.0000 0.0000 22.7336 Se

=====

Entry 4:
PmMnSe2 (PBE-GGA, optimized geometry); total energy = -6.28 eV per atom; space-group type = No. 31; crystal system = orthorhombic; raw formation energy = -1.0621 eV/atom
1.0
4.0903 0.0000 0.0000
0.0000 11.2939 0.0000
0.0000 0.0000 4.1117
Pm Mn Se
2 2 4
Cartesian
0.0000 1.3857 0.0000 Pm
2.0452 9.9082 2.0559 Pm
0.0000 6.9574 0.3097 Mn
2.0452 4.3365 2.3656 Mn
0.0000 4.3567 0.0257 Se
0.0000 9.6464 4.1107 Se
2.0452 1.6475 2.0548 Se
2.0452 6.9372 2.0816 Se

=====

Entry 5:
PmMn4Se8 (PBE-GGA, optimized geometry); total energy = -6.00 eV per atom; space-group type = No. 166; crystal system = trigonal; raw formation energy = -0.6647 eV/atom
1.0
3.7066 2.1400 6.8985
-3.7066 2.1400 6.8985
0.0000 -4.2800 6.8985
Pm Mn Se
1 4 8
Cartesian
0.0000 0.0000 0.0000 Pm
-3.7066 0.0000 10.3478 Mn
-1.8533 1.0700 3.4493 Mn
1.8533 1.0700 3.4493 Mn
0.0000 0.0000 10.3478 Mn
0.0000 0.0000 4.8060 Se
-1.8758 -1.0830 11.7806 Se
0.0000 -2.1660 8.9150 Se
-1.8758 1.0830 8.9150 Se
1.8758 -1.0830 11.7806 Se
0.0000 2.1660 11.7806 Se
1.8758 1.0830 8.9150 Se
0.0000 0.0000 15.8897 Se

=====

Entry 6:
PmMn2Se4 (PBE-GGA, optimized geometry); total energy = -6.23 eV per atom; space-group type = No. 63; crystal system = orthorhombic; raw formation energy = -0.9355 eV/atom
1.0
1.9647 -6.2987 0.0000
1.9647 6.2987 0.0000
0.0000 0.0000 12.7489
Pm Mn Se
2 4 8
Cartesian
1.9647 4.8576 9.5617 Pm
1.9647 -4.8576 3.1872 Pm
1.9647 1.6623 7.2169 Mn
1.9647 1.6623 11.9065 Mn
1.9647 -1.6623 0.8424 Mn
1.9647 -1.6623 5.5320 Mn
0.0000 0.0000 0.0000 Se
0.0000 0.0000 6.3745 Se
1.9647 2.8450 1.4158 Se
1.9647 2.8450 4.9586 Se
1.9647 0.7188 9.5617 Se
1.9647 -0.7188 3.1872 Se
1.9647 -2.8450 7.7903 Se
1.9647 -2.8450 11.3331 Se

=====

M_tot, respectively: 0.20 8.57 4.34 9.63 14.87 17.90 μB per cell.